{
  "formula": "MoRh2Pb",
  "functional": "GGA-PBE",
  "state": "relaxed",
  "dos_at_fermi_per_ev_cell": 4.28,
  "sg": "No. 65",
  "crystal_system": "orthorhombic",
  "e_form_ev_per_atom": 0.23,
  "e_tot_ev_per_atom": -7.083,
  "magnetic_moment_mub_per_fu": 0.004,
  "cell": [[2.896, -3.911, 0.000], [2.896, 3.911, 0.000], [0.000, 0.000, 2.950]],
  "species": ["Mo", "Rh", "Rh", "Pb"],
  "fractional_positions": [[0.000, 0.000, 0.000], [0.000, 0.500, 0.500], [0.500, 0.000, 0.500], [0.500, 0.500, 0.000]]
}

---

{
  "formula": "MoRh2Pb",
  "functional": "GGA-PBE",
  "state": "relaxed",
  "dos_at_fermi_per_ev_cell": 3.72,
  "sg": "No. 139",
  "crystal_system": "tetragonal",
  "e_form_ev_per_atom": 0.15,
  "e_tot_ev_per_atom": -7.165,
  "magnetic_moment_mub_per_fu": 1.096,
  "cell": [[-2.051, 2.051, 3.952], [2.051, -2.051, 3.952], [2.051, 2.051, -3.952]],
  "species": ["Mo", "Rh", "Rh", "Pb"],
  "fractional_positions": [[0.000, 0.000, 0.000], [0.250, 0.750, 0.500], [0.750, 0.250, 0.500], [0.500, 0.500, 0.000]]
}

---

{
  "formula": "Mo2RhPb",
  "functional": "GGA-PBE",
  "state": "relaxed",
  "dos_at_fermi_per_ev_cell": 3.67,
  "sg": "No. 44",
  "crystal_system": "orthorhombic",
  "e_form_ev_per_atom": 0.38,
  "e_tot_ev_per_atom": -7.805,
  "magnetic_moment_mub_per_fu": 0.000,
  "cell": [[-1.951, 2.149, 4.127], [1.951, -2.149, 4.127], [1.951, 2.149, -4.127]],
  "species": ["Mo", "Mo", "Rh", "Pb"],
  "fractional_positions": [[0.000, 0.000, 0.000], [0.786, 0.286, 0.500], [0.514, 0.514, 0.000], [0.260, 0.760, 0.500]]
}

---

{
  "formula": "MoRh2Pb",
  "functional": "GGA-PBE",
  "state": "relaxed",
  "dos_at_fermi_per_ev_cell": 3.41,
  "sg": "No. 166",
  "crystal_system": "trigonal",
  "e_form_ev_per_atom": 0.21,
  "e_tot_ev_per_atom": -7.105,
  "magnetic_moment_mub_per_fu": 0.000,
  "cell": [[1.482, 0.856, 9.180], [-1.482, 0.856, 9.180], [0.000, -1.711, 9.180]],
  "species": ["Mo", "Rh", "Rh", "Pb"],
  "fractional_positions": [[0.000, 0.000, 0.000], [0.258, 0.258, 0.258], [0.742, 0.742, 0.742], [0.500, 0.500, 0.500]]
}

---

{
  "formula": "MoRhPb2",
  "functional": "GGA-PBE",
  "state": "relaxed",
  "dos_at_fermi_per_ev_cell": 4.82,
  "sg": "No. 47",
  "crystal_system": "orthorhombic",
  "e_form_ev_per_atom": 0.49,
  "e_tot_ev_per_atom": -5.907,
  "magnetic_moment_mub_per_fu": 0.001,
  "de_polymorph_ev_per_fu": 1.16,
  "cell": [[3.398, 0.000, 0.000], [0.000, 3.414, 0.000], [0.000, 0.000, 6.713]],
  "species": ["Mo", "Rh", "Pb", "Pb"],
  "fractional_positions": [[0.000, 0.000, 0.000], [0.000, 0.000, 0.500], [0.500, 0.500, 0.252], [0.500, 0.500, 0.748]]
}

---

{
  "formula": "MoRhPb2",
  "functional": "GGA-PBE",
  "state": "relaxed",
  "dos_at_fermi_per_ev_cell": 3.04,
  "sg": "No. 65",
  "crystal_system": "orthorhombic",
  "e_form_ev_per_atom": 0.56,
  "e_tot_ev_per_atom": -5.842,
  "magnetic_moment_mub_per_fu": 0.000,
  "de_polymorph_ev_per_fu": 1.42,
  "cell": [[1.864, -2.559, 0.000], [1.864, 2.559, 0.000], [0.000, 0.000, 8.470]],
  "species": ["Mo", "Rh", "Pb", "Pb"],
  "fractional_positions": [[0.000, 0.000, 0.000], [0.000, 0.000, 0.500], [0.500, 0.500, 0.261], [0.500, 0.500, 0.739]]
}